Density functional theory data (GGA-PBE) for a relaxed MgZnSe crystal.

Geometry as CIF:
```
data_MgZnSe
_space_group_name_H-M_alt 'P 1'
_space_group_IT_number 1
_cell_length_a 6.777
_cell_length_b 4.552
_cell_length_c 14.745
_cell_angle_alpha 90.00
_cell_angle_beta 90.00
_cell_angle_gamma 90.00
loop_
_space_group_symop_operation_xyz
'x,y,z'
loop_
_atom_site_label
_atom_site_fract_x
_atom_site_fract_y
_atom_site_fract_z
_atom_site_occupancy
Zn1 0.053 0.750 0.469 1
Zn2 0.947 0.250 0.531 1
Zn3 0.947 0.250 0.969 1
Zn4 0.053 0.750 0.031 1
Mg1 0.665 0.750 0.981 1
Mg2 0.335 0.250 0.019 1
Mg3 0.335 0.250 0.481 1
Mg4 0.665 0.750 0.519 1
Se1 0.387 0.750 0.106 1
Se2 0.613 0.250 0.894 1
Se3 0.613 0.250 0.606 1
Se4 0.387 0.750 0.394 1
```

Properties
Distance to the lowest polymorph of the same formula = 36 kJ/mol of formula units

Density functional theory data (GGA-PBE) for a relaxed Mg3ZnSe2 crystal.

Geometry as CIF:
```
data_Mg3ZnSe2
_space_group_name_H-M_alt 'P 1'
_space_group_IT_number 1
_cell_length_a 6.171
_cell_length_b 6.171
_cell_length_c 7.221
_cell_angle_alpha 90.00
_cell_angle_beta 90.00
_cell_angle_gamma 77.97
loop_
_space_group_symop_operation_xyz
'x,y,z'
loop_
_atom_site_label
_atom_site_fract_x
_atom_site_fract_y
_atom_site_fract_z
_atom_site_occupancy
Zn1 0.565 0.435 0.250 1
Zn2 0.435 0.565 0.750 1
Mg1 0.911 0.089 0.250 1
Mg2 0.089 0.911 0.750 1
Mg3 0.101 0.558 0.250 1
Mg4 0.899 0.442 0.750 1
Mg5 0.442 0.899 0.250 1
Mg6 0.558 0.101 0.750 1
Se1 0.206 0.206 0.000 1
Se2 0.794 0.794 0.500 1
Se3 0.794 0.794 0.000 1
Se4 0.206 0.206 0.500 1
```

Properties
Distance to the lowest polymorph of the same formula = 56 kJ/mol of formula units

Density functional theory data (GGA-PBE) for a relaxed Mg3Zn4Se2 crystal.

Geometry as CIF:
```
data_Mg3Zn4Se2
_space_group_name_H-M_alt 'P 1'
_space_group_IT_number 1
_cell_length_a 8.858
_cell_length_b 8.858
_cell_length_c 5.716
_cell_angle_alpha 72.45
_cell_angle_beta 72.45
_cell_angle_gamma 26.80
loop_
_space_group_symop_operation_xyz
'x,y,z'
loop_
_atom_site_label
_atom_site_fract_x
_atom_site_fract_y
_atom_site_fract_z
_atom_site_occupancy
Mg1 0.112 0.112 0.424 1
Mg2 0.888 0.888 0.576 1
Mg3 0.000 0.000 0.000 1
Zn1 0.238 0.238 0.656 1
Zn2 0.762 0.762 0.344 1
Zn3 0.497 0.497 0.718 1
Zn4 0.503 0.503 0.282 1
Se1 0.339 0.339 0.907 1
Se2 0.661 0.661 0.093 1
```

Density functional theory data (GGA-PBE) for a relaxed MgZn2Se crystal.

Geometry as CIF:
```
data_MgZn2Se
_space_group_name_H-M_alt 'P 1'
_space_group_IT_number 1
_cell_length_a 5.022
_cell_length_b 5.022
_cell_length_c 7.778
_cell_angle_alpha 90.00
_cell_angle_beta 90.00
_cell_angle_gamma 120.00
loop_
_space_group_symop_operation_xyz
'x,y,z'
loop_
_atom_site_label
_atom_site_fract_x
_atom_site_fract_y
_atom_site_fract_z
_atom_site_occupancy
Mg1 0.000 0.000 0.000 1
Mg2 0.000 0.000 0.500 1
Zn1 0.667 0.333 0.592 1
Zn2 0.333 0.667 0.092 1
Zn3 0.333 0.667 0.408 1
Zn4 0.667 0.333 0.908 1
Se1 0.667 0.333 0.250 1
Se2 0.333 0.667 0.750 1
```

Density functional theory data (GGA-PBE) for a relaxed Mg2Zn2Se crystal.

Geometry as CIF:
```
data_Mg2Zn2Se
_space_group_name_H-M_alt 'P 1'
_space_group_IT_number 1
_cell_length_a 9.747
_cell_length_b 9.747
_cell_length_c 5.934
_cell_angle_alpha 90.00
_cell_angle_beta 90.00
_cell_angle_gamma 158.67
loop_
_space_group_symop_operation_xyz
'x,y,z'
loop_
_atom_site_label
_atom_site_fract_x
_atom_site_fract_y
_atom_site_fract_z
_atom_site_occupancy
Mg1 0.781 0.219 0.417 1
Mg2 0.219 0.781 0.917 1
Mg3 0.947 0.053 0.342 1
Mg4 0.053 0.947 0.842 1
Zn1 0.633 0.367 0.151 1
Zn2 0.367 0.633 0.651 1
Zn3 0.831 0.169 0.960 1
Zn4 0.169 0.831 0.460 1
Se1 0.547 0.453 0.496 1
Se2 0.453 0.547 0.996 1
```

Properties
Distance to the lowest polymorph of the same formula = 61 kJ/mol of formula units

Density functional theory data (GGA-PBE) for a relaxed MgZnSe crystal.

Geometry as CIF:
```
data_MgZnSe
_space_group_name_H-M_alt 'P 1'
_space_group_IT_number 1
_cell_length_a 4.348
_cell_length_b 4.348
_cell_length_c 9.330
_cell_angle_alpha 90.00
_cell_angle_beta 90.00
_cell_angle_gamma 90.00
loop_
_space_group_symop_operation_xyz
'x,y,z'
loop_
_atom_site_label
_atom_site_fract_x
_atom_site_fract_y
_atom_site_fract_z
_atom_site_occupancy
Mg1 0.000 0.000 0.500 1
Mg2 0.500 0.500 0.500 1
Zn1 0.500 0.000 0.004 1
Zn2 0.000 0.500 0.996 1
Se1 0.500 0.000 0.653 1
Se2 0.000 0.500 0.347 1
```

Properties
Distance to the lowest polymorph of the same formula = 39 kJ/mol of formula units

Density functional theory data (GGA-PBE) for a relaxed MgZn2Se crystal.

Geometry as CIF:
```
data_MgZn2Se
_space_group_name_H-M_alt 'P 1'
_space_group_IT_number 1
_cell_length_a 4.909
_cell_length_b 5.338
_cell_length_c 6.706
_cell_angle_alpha 90.00
_cell_angle_beta 90.00
_cell_angle_gamma 90.00
loop_
_space_group_symop_operation_xyz
'x,y,z'
loop_
_atom_site_label
_atom_site_fract_x
_atom_site_fract_y
_atom_site_fract_z
_atom_site_occupancy
Mg1 0.000 0.000 0.077 1
Mg2 0.500 0.500 0.923 1
Zn1 0.000 0.254 0.486 1
Zn2 0.000 0.746 0.486 1
Zn3 0.500 0.246 0.514 1
Zn4 0.500 0.754 0.514 1
Se1 0.000 0.500 0.089 1
Se2 0.500 0.000 0.911 1
```

Density functional theory data (GGA-PBE) for a relaxed Mg2ZnSe crystal.

Geometry as CIF:
```
data_Mg2ZnSe
_space_group_name_H-M_alt 'P 1'
_space_group_IT_number 1
_cell_length_a 3.780
_cell_length_b 3.895
_cell_length_c 6.068
_cell_angle_alpha 69.77
_cell_angle_beta 90.00
_cell_angle_gamma 90.00
loop_
_space_group_symop_operation_xyz
'x,y,z'
loop_
_atom_site_label
_atom_site_fract_x
_atom_site_fract_y
_atom_site_fract_z
_atom_site_occupancy
Mg1 0.000 0.996 0.926 1
Mg2 0.500 0.246 0.339 1
Se1 0.000 0.708 0.407 1
Zn1 0.500 0.550 0.828 1
```

Properties
Distance to the lowest polymorph of the same formula = 45 kJ/mol of formula units

What did we get for Fermi-level density of states? Answer: 0.02, 0.10, 0.29, 0.30, 0.29, 0.18, 0.15, 0.25 states/eV per atom, in the order shown.
What did we get for calculated total energy? Answer: -2.604, -2.737, -2.053, -1.784, -2.062, -2.591, -2.204, -2.357 eV per atom, in the order shown.
What did we get for formation energy without anion corrections? Answer: -0.487, -0.566, -0.181, 0.122, -0.218, -0.473, -0.297, -0.371 eV per atom, in the order shown.